[1]
NiS2ClO at its PBEsol-relaxed geometry, computed with SCAN.

```
NiS2ClO
1.0
4.5520 0.0000 0.0000
0.0000 4.3031 0.0000
0.0000 0.0000 4.3031
S Ni Cl O
2 1 1 1
Direct
0.0000 0.0000 0.5000
0.0000 0.5000 0.0000
0.0000 0.0000 0.0000
0.5000 0.0000 0.0000
0.5000 0.5000 0.5000
```

ΔE_f (raw) ... 0.77 eV/atom
Total magnetic moment ... 4.32 μB per cell

=====

[2]
RbHg2Au at its PBEsol-relaxed geometry, computed with SCAN.

```
RbHg2Au
1.0
-0.3902 4.0830 3.7457
-4.8996 1.4994 -2.1448
-1.7010 -8.5932 5.0713
Hg Au Rb
4 2 2
Direct
0.1948 0.8750 0.2500
0.6250 0.8052 0.7500
0.1250 0.9448 0.7500
0.0552 0.3750 0.2500
0.2500 0.7500 0.5000
0.0000 0.0000 0.0000
0.7500 0.2500 0.5000
0.5000 0.5000 0.0000
```

Total magnetic moment ... 0.00 μB per cell
Formation enthalpy at 0 K ... -74 kJ/mol of formula units

=====

[3]
NaYPO4F at its PBEsol-relaxed geometry, computed with SCAN.

```
NaYPO4F
1.0
5.6416 -0.0080 0.0043
1.3984 5.4656 0.0043
1.4100 1.0931 6.1979
O P F Na Y
8 2 2 2 2
Direct
0.0187 0.3717 0.8461
0.9813 0.6283 0.1539
0.0194 0.0194 0.2717
0.6283 0.9813 0.1539
0.3717 0.0187 0.8461
0.9806 0.9806 0.7283
0.2577 0.2577 0.4891
0.7423 0.7423 0.5109
0.1540 0.1540 0.7237
0.8460 0.8460 0.2763
0.5184 0.5184 0.1900
0.4816 0.4816 0.8100
0.7066 0.2934 0.5000
0.2934 0.7066 0.5000
0.2832 0.2832 0.1160
0.7168 0.7168 0.8840
```

ΔE_f (raw) ... -3.26 eV/atom
Total magnetic moment ... 0.00 μB per cell